Entry 1:
{
  "formula": "AcGeAuO",
  "functional": "PBE",
  "state": "optimized geometry",
  "lattice": [[4.508, 0.000, 0.000], [0.000, 4.508, 0.000], [0.000, 0.000, 8.598]],
  "species": ["Ac", "Ac", "Ge", "Ge", "Au", "Au", "O", "O"],
  "frac_coords": [[0.250, 0.250, 0.133], [0.750, 0.750, 0.867], [0.250, 0.750, 0.500], [0.750, 0.250, 0.500], [0.250, 0.250, 0.654], [0.750, 0.750, 0.346], [0.250, 0.750, 0.000], [0.750, 0.250, 0.000]],
  "formation_energy_uncorrected_kj_per_mol_atoms": -154.3,
  "n_ef_per_ev_cell": 1.516,
  "total_magnetization_mub_per_fu": 0.00
}



Entry 2:
{
  "formula": "ThScPbAu",
  "functional": "PBE",
  "state": "optimized geometry",
  "lattice": [[7.416, 0.000, 0.000], [0.000, 7.416, 0.000], [0.000, 0.000, 7.416]],
  "species": ["Th", "Th", "Th", "Th", "Sc", "Sc", "Sc", "Sc", "Pb", "Pb", "Pb", "Pb", "Au", "Au", "Au", "Au"],
  "frac_coords": [[0.000, 0.000, 0.000], [0.000, 0.500, 0.500], [0.500, 0.000, 0.500], [0.500, 0.500, 0.000], [0.000, 0.000, 0.500], [0.000, 0.500, 0.000], [0.500, 0.000, 0.000], [0.500, 0.500, 0.500], [0.250, 0.250, 0.250], [0.250, 0.750, 0.750], [0.750, 0.250, 0.750], [0.750, 0.750, 0.250], [0.250, 0.250, 0.750], [0.250, 0.750, 0.250], [0.750, 0.250, 0.250], [0.750, 0.750, 0.750]],
  "n_ef_per_ev_cell": 24.757,
  "formation_enthalpy_0k_mev_per_atom": -392,
  "total_magnetization_mub_per_fu": 0.09
}



Entry 3:
{
  "formula": "Hf3TlPb",
  "functional": "PBE",
  "state": "optimized geometry",
  "lattice": [[5.294, 0.000, 0.000], [0.000, 5.294, 0.000], [0.000, 0.000, 5.294]],
  "species": ["Hf", "Hf", "Hf", "Tl", "Pb"],
  "frac_coords": [[0.000, 0.000, 0.500], [0.000, 0.500, 0.000], [0.500, 0.000, 0.000], [0.000, 0.000, 0.000], [0.500, 0.500, 0.500]],
  "n_ef_per_ev_cell": 8.203,
  "formation_enthalpy_0k_mev_per_atom": 1156,
  "total_magnetization_mub_per_fu": 0.00
}



Entry 4:
{
  "formula": "MnOsRu2",
  "functional": "PBE",
  "state": "optimized geometry",
  "lattice": [[4.607, 0.000, 0.000], [0.000, 5.343, 0.000], [-1.514, 0.000, 8.691]],
  "species": ["Mn", "Mn", "Mn", "Mn", "Os", "Os", "Os", "Os", "Ru", "Ru", "Ru", "Ru", "Ru", "Ru", "Ru", "Ru"],
  "frac_coords": [[0.120, 0.120, 0.126], [0.120, 0.880, 0.626], [0.880, 0.120, 0.374], [0.880, 0.880, 0.874], [0.368, 0.115, 0.875], [0.368, 0.885, 0.375], [0.632, 0.115, 0.625], [0.632, 0.885, 0.125], [0.120, 0.368, 0.622], [0.120, 0.632, 0.122], [0.368, 0.367, 0.372], [0.368, 0.633, 0.872], [0.632, 0.367, 0.128], [0.632, 0.633, 0.628], [0.880, 0.368, 0.878], [0.880, 0.632, 0.378]],
  "n_ef_per_ev_cell": 20.557,
  "formation_enthalpy_0k_mev_per_atom": 118,
  "total_magnetization_mub_per_fu": 0.00
}



Entry 5:
{
  "formula": "Pr2ScS3",
  "functional": "PBE",
  "state": "optimized geometry",
  "lattice": [[3.939, 0.000, 0.000], [-1.970, 3.412, 0.000], [0.000, 0.000, 9.887]],
  "species": ["Pr", "Pr", "Sc", "S", "S", "S"],
  "frac_coords": [[0.333, 0.667, 0.177], [0.667, 0.333, 0.823], [0.000, 0.000, 0.500], [0.000, 0.000, 0.000], [0.333, 0.667, 0.639], [0.667, 0.333, 0.361]],
  "formation_energy_uncorrected_kj_per_mol_atoms": -187.4,
  "n_ef_per_ev_cell": 3.114,
  "total_magnetization_mub_per_fu": 0.00
}



Entry 6:
{
  "formula": "Pa2SnAu",
  "functional": "PBE",
  "state": "optimized geometry",
  "lattice": [[4.432, 0.000, 0.000], [0.000, 4.432, 0.000], [0.000, 0.000, 4.754]],
  "species": ["Pa", "Pa", "Sn", "Au"],
  "frac_coords": [[0.000, 0.500, 0.000], [0.500, 0.000, 0.000], [0.000, 0.000, 0.500], [0.500, 0.500, 0.500]],
  "n_ef_per_ev_cell": 7.541,
  "formation_enthalpy_0k_mev_per_atom": -227,
  "total_magnetization_mub_per_fu": 0.76
}



Entry 7:
{
  "formula": "Y3Er5Sb2",
  "functional": "PBE",
  "state": "optimized geometry",
  "lattice": [[-6.415, 7.627, 3.161], [6.415, -7.627, 3.161], [6.415, 7.627, -3.161]],
  "species": ["Y", "Y", "Y", "Y", "Y", "Y", "Er", "Er", "Er", "Er", "Er", "Er", "Er", "Er", "Er", "Er", "Sb", "Sb", "Sb", "Sb"],
  "frac_coords": [[0.206, 0.135, 0.341], [0.250, 0.250, 0.000], [0.294, 0.635, 0.929], [0.706, 0.365, 0.071], [0.750, 0.750, 0.000], [0.794, 0.865, 0.659], [0.168, 0.415, 0.583], [0.250, 0.508, 0.258], [0.250, 0.750, 0.500], [0.250, 0.992, 0.742], [0.332, 0.915, 0.247], [0.668, 0.085, 0.753], [0.750, 0.008, 0.258], [0.750, 0.250, 0.500], [0.750, 0.492, 0.742], [0.832, 0.585, 0.417], [0.146, 0.857, 0.002], [0.354, 0.357, 0.711], [0.646, 0.643, 0.289], [0.854, 0.143, 0.998]],
  "formation_energy_uncorrected_kj_per_mol_atoms": -14.5,
  "n_ef_per_ev_cell": 25.693,
  "total_magnetization_mub_per_fu": 0.00
}



Entry 8:
{
  "formula": "Mg2CuPd5",
  "functional": "PBE",
  "state": "optimized geometry",
  "lattice": [[2.180, -4.551, 0.000], [2.180, 4.551, 0.000], [0.000, 0.000, 12.874]],
  "species": ["Mg", "Mg", "Mg", "Mg", "Cu", "Cu", "Pd", "Pd", "Pd", "Pd", "Pd", "Pd", "Pd", "Pd", "Pd", "Pd"],
  "frac_coords": [[0.238, 0.762, 0.624], [0.238, 0.762, 0.876], [0.762, 0.238, 0.124], [0.762, 0.238, 0.376], [0.238, 0.762, 0.250], [0.762, 0.238, 0.750], [0.072, 0.928, 0.093], [0.072, 0.928, 0.407], [0.379, 0.621, 0.058], [0.379, 0.621, 0.442], [0.470, 0.530, 0.750], [0.530, 0.470, 0.250], [0.621, 0.379, 0.558], [0.621, 0.379, 0.942], [0.928, 0.072, 0.593], [0.928, 0.072, 0.907]],
  "n_ef_per_ev_cell": 7.409,
  "formation_enthalpy_0k_mev_per_atom": -335,
  "total_magnetization_mub_per_fu": 0.00
}



Entry 9:
{
  "formula": "NaCa2ZnH",
  "functional": "PBE",
  "state": "optimized geometry",
  "lattice": [[6.099, 0.000, 0.000], [0.000, 6.099, 0.000], [0.000, 0.000, 5.005]],
  "species": ["Na", "Ca", "Ca", "Zn", "H"],
  "frac_coords": [[0.000, 0.000, 0.000], [0.000, 0.500, 0.000], [0.500, 0.000, 0.000], [0.000, 0.000, 0.500], [0.500, 0.500, 0.500]],
  "n_ef_per_ev_cell": 2.996,
  "energy_ev_per_cell": -5.91,
  "total_magnetization_mub_per_fu": 0.00
}



Entry 10:
{
  "formula": "TcIrOs",
  "functional": "PBE",
  "state": "optimized geometry",
  "lattice": [[5.462, 0.000, 0.000], [0.000, 3.860, 0.000], [0.000, 0.000, 8.218]],
  "species": ["Tc", "Tc", "Tc", "Tc", "Ir", "Ir", "Ir", "Ir", "Os", "Os", "Os", "Os"],
  "frac_coords": [[0.119, 0.250, 0.083], [0.381, 0.750, 0.583], [0.619, 0.250, 0.417], [0.881, 0.750, 0.917], [0.127, 0.250, 0.415], [0.373, 0.750, 0.915], [0.627, 0.250, 0.085], [0.873, 0.750, 0.585], [0.123, 0.250, 0.754], [0.377, 0.750, 0.254], [0.623, 0.250, 0.746], [0.877, 0.750, 0.246]],
  "n_ef_per_ev_cell": 11.821,
  "formation_enthalpy_0k_mev_per_atom": -58,
  "total_magnetization_mub_per_fu": 0.00
}



Entry 11:
{
  "formula": "GaTe3Au",
  "functional": "PBE",
  "state": "optimized geometry",
  "lattice": [[4.397, 0.000, 0.000], [0.987, 5.994, 0.000], [1.053, 1.784, 6.264]],
  "species": ["Ga", "Te", "Te", "Te", "Au"],
  "frac_coords": [[0.000, 0.000, 0.000], [0.185, 0.389, 0.008], [0.579, 0.957, 0.756], [0.894, 0.621, 0.332], [0.359, 0.385, 0.554]],
  "formation_energy_uncorrected_kj_per_mol_atoms": -8.6,
  "n_ef_per_ev_cell": 0.056,
  "total_magnetization_mub_per_fu": 0.00
}



Entry 12:
{
  "formula": "Sb2HF8",
  "functional": "PBE",
  "state": "optimized geometry",
  "lattice": [[4.538, -3.551, 0.000], [4.538, 3.551, 0.000], [-0.136, 0.000, 4.981]],
  "species": ["Sb", "Sb", "H", "F", "F", "F", "F", "F", "F", "F", "F"],
  "frac_coords": [[0.216, 0.216, 0.065], [0.784, 0.784, 0.935], [0.500, 0.500, 0.500], [0.068, 0.068, 0.760], [0.156, 0.527, 0.852], [0.396, 0.396, 0.365], [0.473, 0.844, 0.148], [0.527, 0.156, 0.852], [0.604, 0.604, 0.635], [0.844, 0.473, 0.148], [0.932, 0.932, 0.240]],
  "n_ef_per_ev_cell": 3.747,
  "energy_ev_per_cell": -49.07,
  "total_magnetization_mub_per_fu": 0.00
}